i) {"formula": "CeZn2Hg", "functional": "GGA-PBE", "state": "optimized geometry", "lattice_angstrom": [[-2.4159, -3.0964, 2.4959], [1.2732, -1.8222, -5.3659], [5.8895, -2.7232, 2.3222]], "species": ["Ce", "Ce", "Zn", "Zn", "Zn", "Zn", "Hg", "Hg"], "frac_coords": [[0.7625, 0.5249, 0.5000], [0.5709, 0.1417, 0.0000], [0.0365, 0.0730, 0.6884], [0.0365, 0.0730, 0.3116], [0.8799, 0.7597, 0.0000], [0.4725, 0.9451, 0.5000], [0.2850, 0.5700, 0.7941], [0.2850, 0.5700, 0.2059]], "mass_density_g_cm3": 9.2, "spacegroup": "No. 38", "magmom_total_mub_per_fu": 0.66}

ii) {"formula": "CeZn2Hg", "functional": "GGA-PBE", "state": "optimized geometry", "lattice_angstrom": [[-0.5664, 3.1316, 1.2176], [-2.7071, 0.3061, -2.0465], [-4.2705, -2.8055, 5.2292]], "species": ["Zn", "Zn", "Hg", "Ce"], "frac_coords": [[0.0000, 0.0000, 0.7767], [0.0000, 0.0000, 0.2233], [0.5000, 0.5000, 0.0000], [0.5000, 0.5000, 0.5000]], "mass_density_g_cm3": 9.2, "spacegroup": "No. 123", "magmom_total_mub_per_fu": 0.81}

iii) {"formula": "CeZn2Hg", "functional": "GGA-PBE", "state": "optimized geometry", "lattice_angstrom": [[4.1986, 0.0000, 0.0000], [0.0000, 4.6385, 0.0000], [0.0000, 0.0000, 4.6385]], "species": ["Zn", "Zn", "Hg", "Ce"], "frac_coords": [[0.0000, 0.0000, 0.5000], [0.0000, 0.5000, 0.0000], [0.5000, 0.0000, 0.0000], [0.5000, 0.5000, 0.5000]], "mass_density_g_cm3": 8.7, "spacegroup": "No. 123", "magmom_total_mub_per_fu": 1.29}

Computed relative energies in units of meV per atom: i) 0; ii) 156; iii) 148

i) {"formula": "Ce2ZnHg", "functional": "GGA-PBE", "state": "optimized geometry", "lattice_angstrom": [[5.2949, 0.0000, 0.0000], [2.6474, 4.5855, 0.0000], [2.6474, 1.5285, 4.3233]], "species": ["Zn", "Hg", "Ce", "Ce"], "frac_coords": [[0.0000, 0.0000, 0.0000], [0.5000, 0.5000, 0.5000], [0.7500, 0.7500, 0.7500], [0.2500, 0.2500, 0.2500]], "mass_density_g_cm3": 8.6, "spacegroup": "No. 225", "magmom_total_mub_per_fu": 2.68}

ii) {"formula": "Ce2ZnHg", "functional": "GGA-PBE", "state": "optimized geometry", "lattice_angstrom": [[-2.0584, -3.2776, 0.2406], [2.8583, -1.9256, -1.7775], [2.8158, -1.3302, 5.9691]], "species": ["Zn", "Hg", "Ce", "Ce"], "frac_coords": [[0.5000, 0.5000, 0.0000], [0.5000, 0.5000, 0.5000], [0.0000, 0.0000, 0.7866], [0.0000, 0.0000, 0.2134]], "mass_density_g_cm3": 9.0, "spacegroup": "No. 123", "magmom_total_mub_per_fu": 1.99}

Computed relative energies in units of meV per atom: i) 36; ii) 0

i) {"formula": "CeZn3Hg", "functional": "GGA-PBE", "state": "optimized geometry", "lattice_angstrom": [[-0.5673, 1.5423, 4.1276], [-4.0849, -0.9181, -0.2183], [4.4199, -10.6099, 2.1757]], "species": ["Ce", "Ce", "Zn", "Zn", "Zn", "Zn", "Zn", "Zn", "Hg", "Hg"], "frac_coords": [[0.1627, 0.4122, 0.8244], [0.8373, 0.5878, 0.1756], [0.7274, 0.9773, 0.9546], [0.2726, 0.0227, 0.0454], [0.4635, 0.7142, 0.4284], [0.5365, 0.2858, 0.5716], [0.0371, 0.7873, 0.5746], [0.9629, 0.2127, 0.4254], [0.3887, 0.1394, 0.2788], [0.6113, 0.8606, 0.7212]], "mass_density_g_cm3": 8.5, "spacegroup": "No. 12", "magmom_total_mub_per_fu": 1.10}

ii) {"formula": "CeZn3Hg", "functional": "GGA-PBE", "state": "optimized geometry", "lattice_angstrom": [[-0.8892, -4.5250, 5.4898], [5.1009, -2.5450, 2.0840], [-0.7274, 2.1951, 5.5373]], "species": ["Ce", "Ce", "Zn", "Zn", "Zn", "Zn", "Zn", "Zn", "Hg", "Hg"], "frac_coords": [[0.1937, 0.6921, 0.2461], [0.8063, 0.3079, 0.7539], [0.0934, 0.2548, 0.0775], [0.2477, 0.8727, 0.7231], [0.9066, 0.7452, 0.9225], [0.7523, 0.1273, 0.2769], [0.6545, 0.5971, 0.3201], [0.3455, 0.4029, 0.6799], [0.6314, 0.8878, 0.7047], [0.3686, 0.1122, 0.2953]], "mass_density_g_cm3": 8.8, "spacegroup": "No. 2", "magmom_total_mub_per_fu": 1.04}

Computed relative energies in units of meV per atom: i) 35; ii) 0